1.
Compound: Tb6Al2Hg
Source: Alexandria via LeMat-Bulk
Functional: PBE
Structure: optimized geometry

Structure (extended XYZ):
```
9
Lattice="-2.5235 3.6093 7.6181 2.5235 -3.6093 7.6181 2.5235 3.6093 -7.6181" Properties=species:S:1:pos:R:3 pbc="T T T"
Tb 2.5235 1.8048 -2.5559
Tb 0.0000 1.7859 0.0000
Tb 2.5235 1.8048 2.5559
Tb 0.0000 1.8045 5.0622
Tb 0.0000 5.4328 0.0000
Tb 0.0000 1.8045 10.1740
Al 0.0000 0.0000 2.5414
Al 0.0000 0.0000 12.6947
Hg 0.0000 0.0000 7.6181
```

Values from the calculation:
Its crystal system is orthorhombic.


2.
Compound: Tb3AlHg3
Source: Alexandria via LeMat-Bulk
Functional: PBE
Structure: optimized geometry

Structure (extended XYZ):
```
14
Lattice="5.6743 -2.1423 0.0000 5.6743 2.1423 0.0000 -4.9639 0.0000 14.6898" Properties=species:S:1:pos:R:3 pbc="T T T"
Tb -1.6842 0.0000 5.6374
Tb -3.3846 0.0000 13.5115
Tb 1.5925 0.0000 3.3827
Tb 4.7922 0.0000 11.3071
Tb 9.7694 0.0000 1.1783
Tb 8.0690 0.0000 9.0524
Al -0.0239 0.0000 9.0895
Al 6.4086 0.0000 5.6003
Hg 1.7473 0.0000 6.7944
Hg -0.3202 0.0000 13.5716
Hg 1.6861 0.0000 11.2521
Hg 4.6986 0.0000 3.4377
Hg 6.7050 0.0000 1.1182
Hg 4.6374 0.0000 7.8954
```

Values from the calculation:
Its crystal system is monoclinic.


3.
Compound: Tb6AlHg3
Source: Alexandria via LeMat-Bulk
Functional: PBE
Structure: optimized geometry

Structure (extended XYZ):
```
20
Lattice="9.3204 0.0000 0.0000 0.0000 5.1879 0.0000 -3.2311 0.0000 11.0890" Properties=species:S:1:pos:R:3 pbc="T T T"
Tb -1.0605 1.2970 4.4580
Tb 0.8737 3.8909 1.9608
Tb 2.4749 1.2970 0.0652
Tb 0.5469 3.8909 9.2063
Tb 2.4220 1.2970 3.7237
Tb 1.5620 1.2970 6.8568
Tb 4.5273 3.8909 4.2322
Tb 3.6673 3.8909 7.3653
Tb 5.5424 1.2970 1.8827
Tb 3.6144 3.8909 11.0237
Tb 5.2156 1.2970 9.1282
Tb 7.1497 3.8909 6.6310
Al 3.8495 3.8909 1.2804
Al 2.2398 1.2970 9.8086
Hg -2.6246 3.8909 9.7591
Hg -1.1807 1.2970 8.0531
Hg 1.0630 3.8909 5.1773
Hg 5.0263 1.2970 5.9117
Hg 7.2700 3.8909 3.0359
Hg 8.7139 1.2970 1.3298
```

Values from the calculation:
Its crystal system is monoclinic.


4.
Compound: Tb2Al3Hg
Source: Alexandria via LeMat-Bulk
Functional: PBE
Structure: optimized geometry

Structure (extended XYZ):
```
12
Lattice="0.0000 4.6104 7.9513 3.6220 0.0000 7.9513 3.6220 4.6104 0.0000" Properties=species:S:1:pos:R:3 pbc="T T T"
Tb 5.4386 4.6104 7.9513
Tb 1.8110 2.3052 3.9756
Tb 5.4331 6.9156 11.9269
Tb 1.8055 4.6104 7.9513
Al 3.6220 2.3329 6.6425
Al 3.6220 2.3329 9.2600
Al 3.6220 4.6104 5.3412
Al 3.6220 4.6104 10.5614
Al 3.6220 6.8879 6.6425
Al 3.6220 6.8879 9.2600
Hg 3.6220 4.6104 2.6544
Hg 3.6220 4.6104 13.2481
```

Values from the calculation:
Its crystal system is orthorhombic.


5.
Compound: Tb3Al2Hg6
Source: Alexandria via LeMat-Bulk
Functional: PBE
Structure: optimized geometry

Structure (extended XYZ):
```
11
Lattice="-2.1265 2.1265 15.3076 2.1265 -2.1265 15.3076 2.1265 2.1265 -15.3076" Properties=species:S:1:pos:R:3 pbc="T T T"
Tb 0.0000 0.0000 0.0000
Tb 0.0000 0.0000 5.2337
Tb 0.0000 0.0000 25.3815
Al 0.0000 0.0000 11.0879
Al 0.0000 0.0000 19.5273
Hg 2.1265 0.0000 2.3265
Hg 0.0000 0.0000 8.3563
Hg 2.1265 0.0000 12.9811
Hg 0.0000 2.1265 2.3265
Hg 0.0000 0.0000 22.2588
Hg 0.0000 2.1265 12.9811
```

Values from the calculation:
Its crystal system is tetragonal.


6.
Compound: Tb5AlHg4
Source: Alexandria via LeMat-Bulk
Functional: PBE
Structure: optimized geometry

Structure (extended XYZ):
```
10
Lattice="3.7075 0.0000 0.0000 0.0000 3.7075 0.0000 0.0000 0.0000 18.6497" Properties=species:S:1:pos:R:3 pbc="T T T"
Tb 0.0000 0.0000 0.0000
Tb 0.0000 0.0000 3.7740
Tb 0.0000 0.0000 7.5527
Tb 0.0000 0.0000 11.0969
Tb 0.0000 0.0000 14.8757
Al 1.8537 1.8537 9.3248
Hg 1.8537 1.8537 1.8922
Hg 1.8537 1.8537 5.6872
Hg 1.8537 1.8537 12.9625
Hg 1.8537 1.8537 16.7575
```

Values from the calculation:
Its crystal system is tetragonal.


7.
Compound: Tb6Al2Hg
Source: Alexandria via LeMat-Bulk
Functional: PBE
Structure: optimized geometry

Structure (extended XYZ):
```
18
Lattice="-4.8676 4.9577 5.2511 4.8676 -4.9577 5.2511 4.8676 4.9577 -5.2511" Properties=species:S:1:pos:R:3 pbc="T T T"
Tb 4.8676 -2.8606 3.4017
Tb 2.9282 0.0000 2.6121
Tb 6.8071 0.0000 2.6121
Tb 3.1195 2.6919 0.0000
Tb 6.6158 2.6919 0.0000
Tb 0.0000 2.0971 1.8494
Tb 4.8676 2.8606 3.4017
Tb -1.7481 2.2658 5.2511
Tb 1.7481 2.2658 5.2511
Tb -1.9394 4.9577 2.6391
Tb 1.9394 4.9577 2.6391
Tb 0.0000 7.8183 1.8494
Al 1.3642 0.0000 0.0000
Al 8.3711 0.0000 0.0000
Al 0.0000 0.0000 3.9544
Al 0.0000 0.0000 6.5478
Hg 4.8676 0.0000 0.0000
Hg 0.0000 4.9577 0.0000
```

Values from the calculation:
Its crystal system is orthorhombic.


8.
Compound: Tb2Al3Hg
Source: Alexandria via LeMat-Bulk
Functional: PBE
Structure: optimized geometry

Structure (extended XYZ):
```
6
Lattice="-1.9730 2.2513 7.8786 1.9730 -2.2513 7.8786 1.9730 2.2513 -7.8786" Properties=species:S:1:pos:R:3 pbc="T T T"
Tb 0.0000 0.0000 0.0000
Tb 0.0000 2.2513 4.3871
Al 1.9730 0.0000 2.8708
Al 1.9730 0.0000 5.3938
Al 0.0000 0.0000 6.8963
Hg 0.0000 0.0000 9.4804
```

Values from the calculation:
Its crystal system is orthorhombic.


Number 1: energy of formation -0.06 eV/atom. Number 2: energy of formation -0.42 eV/atom. Number 3: energy of formation -0.34 eV/atom. Number 4: energy of formation -0.47 eV/atom. Number 5: energy of formation -0.20 eV/atom. Number 6: energy of formation -0.46 eV/atom. Number 7: energy of formation -0.27 eV/atom. Number 8: energy of formation -0.39 eV/atom.